1.
DFT (SCAN) results for a PBEsol-optimized structure of MnSnBi3. Values from VASP.

```
&SYSTEM
  ibrav = 0, nat = 5, ntyp = 3
/
ATOMIC_SPECIES
Mn 54.94 Mn.upf
Bi 208.98 Bi.upf
Sn 118.71 Sn.upf
CELL_PARAMETERS angstrom
5.218 0.000 0.000
0.000 5.218 0.000
0.000 0.000 5.218
ATOMIC_POSITIONS angstrom
Mn 0.000 0.000 0.000
Bi 0.000 2.609 0.000
Bi 0.000 0.000 2.609
Bi 2.609 0.000 0.000
Sn 2.609 2.609 2.609
```

Summary:
SG ... Pm-3m, No. 221
Total moment ... 3.58 μB/f.u.
Total energy ... -57.57 eV per atom
ΔE_f ... 0.41 eV/atom

---

2.
DFT (SCAN) results for a PBEsol-optimized structure of Ca5P. Values from VASP.

```
&SYSTEM
  ibrav = 0, nat = 6, ntyp = 2
/
ATOMIC_SPECIES
P 30.97 P.upf
Ca 40.08 Ca.upf
CELL_PARAMETERS angstrom
3.698 0.000 0.000
1.849 6.537 -0.021
1.849 2.312 8.325
ATOMIC_POSITIONS angstrom
P 0.000 0.000 0.000
Ca 3.698 4.290 7.382
Ca 1.849 4.425 4.152
Ca 3.698 4.559 0.921
Ca 5.547 7.781 6.036
Ca 1.849 1.068 2.267
```

Summary:
SG ... C2/m, No. 12
Total moment ... 0.13 μB/f.u.
Total energy ... -10.18 eV per atom
ΔE_f ... -0.40 eV/atom